This record from Alexandria via LeMat-Bulk describes CrTe2P after structural relaxation. The functional is PBE-GGA.

Output
Formation energy without anion corrections: 0.46 eV per atom
Crystal system: tetragonal
Space-group type: P4/mmm

```
4
Lattice="3.456 0.000 0.000 0.000 3.456 0.000 0.000 0.000 6.907" Properties=species:S:1:pos:R:3 pbc="T T T"
Cr 1.728 1.728 1.727
P 1.728 1.728 5.180
Te 0.000 0.000 0.130
Te 0.000 0.000 3.323
```


This record from Alexandria via LeMat-Bulk describes CaAlH2 after structural relaxation. The functional is PBE-GGA.

Output
Crystal system: tetragonal
Space-group type: I-42d
Distance to the lowest polymorph of the same formula: 0 meV per atom

```
8
Lattice="-1.187 0.946 4.290 3.718 -2.151 1.503 4.056 4.044 2.644" Properties=species:S:1:pos:R:3 pbc="T T T"
H 0.814 1.272 3.252
H 3.112 -0.154 2.415
H 4.232 2.441 4.253
H 5.015 2.118 6.955
Ca 0.000 0.000 0.000
Ca 2.067 2.193 4.916
Al 1.266 -0.603 2.897
Al 4.520 0.645 3.522
```


This record from Alexandria via LeMat-Bulk describes Na2PtF4 after structural relaxation. The functional is PBE-GGA.

Output
Formation energy without anion corrections: -1.97 eV per atom
Crystal system: tetragonal
Space-group type: I4/mmm

```
7
Lattice="-5.596 -0.881 0.917 0.830 -5.665 -0.377 2.916 3.143 2.854" Properties=species:S:1:pos:R:3 pbc="T T T"
Na -2.531 -0.505 2.021
Na 0.681 -2.898 1.374
Pt -2.383 -3.273 0.270
F -3.965 -2.095 0.589
F -0.801 -4.451 -0.049
F -0.641 -1.742 3.257
F 1.706 1.482 2.991
```


This record from Alexandria via LeMat-Bulk describes PaHgPd after structural relaxation. The functional is PBE-GGA.

Output
Crystal system: tetragonal
Space-group type: I4mm
Formation energy from the elements: -0.273 eV/atom
Distance to the lowest polymorph of the same formula: 0 meV per atom

```
3
Lattice="3.304 0.000 0.000 0.000 3.304 0.000 -1.652 -1.652 5.855" Properties=species:S:1:pos:R:3 pbc="T T T"
Pa 0.000 0.000 0.179
Hg 0.000 0.000 3.741
Pd 1.652 1.652 1.935
```